Record 1
Entry from Alexandria: an optimized crystal structure of TlSiSe2O8 (GGA-PBE).

Geometry as POSCAR:
```
TlSiSe2O8
1.0
4.0853 -2.7605 0.0000
4.0853 2.7605 0.0000
-0.5572 0.0000 8.3285
Tl Si Se O
1 1 2 8
Cartesian
0.0000 0.0000 0.0000
-0.2786 0.0000 4.1643
2.7036 0.0000 5.6281
4.9099 0.0000 2.7004
3.6195 1.5627 5.4942
1.5295 0.0000 4.3726
3.9939 1.5627 2.8343
2.1166 0.0000 7.1703
5.4968 0.0000 1.1583
3.6195 -1.5627 5.4942
6.0839 0.0000 3.9560
3.9939 -1.5627 2.8343
```

Values from the calculation:
raw formation energy = -1120 kJ/mol of formula units
symmetry = No. 12


Record 2
Entry from Alexandria: an optimized crystal structure of SmSe2O5 (GGA-PBE).

Geometry as POSCAR:
```
SmSe2O5
1.0
7.2435 0.0000 0.0000
0.0000 10.9620 0.0000
0.0000 0.0000 7.1621
Sm Se O
4 8 20
Cartesian
0.0000 0.7322 1.7905
0.0000 10.2298 5.3715
3.6217 4.7488 5.3715
3.6217 6.2132 1.7905
0.8608 3.9468 0.2176
0.8608 7.0152 3.7987
2.7609 1.5342 3.7987
2.7609 9.4278 0.2176
4.4826 1.5342 6.9444
4.4826 9.4278 3.3634
6.3827 3.9468 3.3634
6.3827 7.0152 6.9444
0.0000 4.7030 1.7905
0.0000 6.2590 5.3715
1.1905 0.7030 3.8442
1.1905 10.2590 0.2632
1.2677 2.4423 0.9433
1.2677 8.5197 4.5243
2.3540 3.0387 4.5243
2.3540 7.9234 0.9433
2.4312 4.7780 0.2632
2.4312 6.1840 3.8442
3.6217 0.7780 5.3715
3.6217 10.1840 1.7905
4.8123 4.7780 3.3178
4.8123 6.1840 6.8989
4.8895 3.0387 6.2188
4.8895 7.9234 2.6378
5.9758 2.4423 2.6378
5.9758 8.5197 6.2188
6.0530 0.7030 6.8989
6.0530 10.2590 3.3178
```

Values from the calculation:
raw formation energy = -1125 kJ/mol of formula units
symmetry = No. 60


Record 3
Entry from Alexandria: an optimized crystal structure of Sm2SeO (GGA-PBE).

Geometry as POSCAR:
```
Sm2SeO
1.0
7.8680 0.0000 0.0000
0.0000 6.3567 0.0000
-0.2792 0.0000 6.6701
Sm Se O
8 4 4
Cartesian
0.5916 1.5257 3.1175
0.4520 1.6527 6.4525
2.4302 4.7155 3.3052
2.2906 4.8195 6.6402
5.2981 1.5371 0.0299
5.1585 1.6412 3.3649
7.1368 4.7040 0.2176
6.9972 4.8310 3.5526
2.7803 0.7609 4.9208
2.9199 2.4174 1.5858
4.6689 3.9392 5.0843
4.8085 5.5958 1.7493
0.7697 3.6883 4.9716
0.9093 5.8467 1.6366
6.6794 0.5099 5.0335
6.8190 2.6684 1.6985
```

Values from the calculation:
raw formation energy = -757 kJ/mol of formula units
symmetry = No. 14


Record 4
Entry from Alexandria: an optimized crystal structure of SmSeO5 (GGA-PBE).

Geometry as POSCAR:
```
SmSeO5
1.0
4.2233 -4.1571 0.0000
4.2233 4.1571 0.0000
-4.0083 0.0000 7.7139
Sm Se O
2 2 10
Cartesian
2.1116 2.0785 0.0000
0.1075 -2.0785 3.8569
1.2171 3.1146 5.7854
3.2212 -3.1146 1.9285
-0.3389 0.1150 3.1438
0.0275 2.1369 6.4256
-2.3430 -0.1150 7.0007
3.2212 1.3592 1.9285
2.4066 2.1369 5.1452
2.0316 -2.1369 2.5687
1.2171 -1.3592 5.7854
6.7813 0.1150 0.7132
4.4108 -2.1369 1.2882
4.7772 -0.1150 4.5701
```

Values from the calculation:
raw formation energy = -980 kJ/mol of formula units
symmetry = No. 15


Record 5
Entry from Alexandria: an optimized crystal structure of Sm2SeO (GGA-PBE).

Geometry as POSCAR:
```
Sm2SeO
1.0
1.8883 1.0902 6.5577
-1.8883 1.0902 6.5577
0.0000 -2.1804 6.5577
Sm Se O
2 1 1
Cartesian
0.0000 0.0000 4.5704
0.0000 0.0000 15.1026
0.0000 0.0000 0.0000
0.0000 0.0000 9.8365
```

Values from the calculation:
raw formation energy = -853 kJ/mol of formula units
symmetry = No. 166


Record 6
Entry from Alexandria: an optimized crystal structure of SmSe2O8 (GGA-PBE).

Geometry as POSCAR:
```
SmSe2O8
1.0
0.0000 4.6928 4.6928
4.6928 0.0000 4.6928
4.6928 4.6928 0.0000
Sm Se O
1 2 8
Cartesian
0.0000 0.0000 0.0000
2.3464 2.3464 2.3464
7.0392 7.0392 7.0392
1.3887 1.3887 1.3887
3.3041 3.3041 1.3887
3.3041 1.3887 3.3041
7.9969 6.0816 6.0816
1.3887 3.3041 3.3041
6.0816 7.9969 6.0816
6.0816 6.0816 7.9969
7.9969 7.9969 7.9969
```

Values from the calculation:
raw formation energy = -1232 kJ/mol of formula units
symmetry = No. 225


Which mass density belongs to each record? In order, 4.582, 4.535, 7.878, 3.793, 8.112, 3.505 g/cm3.
Which final energy belongs to each record? In order, -66.03, -192.54, -102.91, -86.30, -26.72, -64.13 eV per cell.